Compound: BaTlSbS4
Source: the Alexandria database
Functional: PBE-GGA
Structure: relaxed

Values from the calculation:
E_form (uncorrected) = -0.7877 eV/atom
ρ = 4.4 g/cm3
DOS(E_F) = 0.000 states/eV per cell
Calculated total energy = -0.3196 Ry/atom
Magnetic moment = 0.00 μB/cell

Lattice parameters (Å, degrees): 7.469 7.000 8.904 90.00 105.81 90.00
Space group P2_1/m (No. 11)
Inequivalent atoms, fractional coordinates:
Ba 0.240 0.250 0.063
Tl 0.250 0.250 0.560
Sb 0.221 0.750 0.798
S 0.012 0.012 0.754
S 0.388 0.750 0.065
S 0.415 0.750 0.631